The following is a DFT calculation (GGA-PBE) of a geometry-optimized LaPr4Dy2 structure.

## Properties
The value obtained for the electronic total energy is -4.129 eV/atom. Its total moment is 0.0 μB/f.u. As for the energy of formation: 620.7 meV/atom. The relative energy among the computed polymorphs comes out at 0.558 eV/atom.

Cell: 5.789 5.789 9.391 Å, 107.95 107.95 90.00°
Element x y z (fractional)
1 Pr 0.185 0.185 0.370
2 Pr 0.500 0.000 0.000
3 Pr 0.815 0.815 0.630
4 Pr 0.000 0.500 0.000
5 Dy 0.609 0.609 0.218
6 Dy 0.391 0.391 0.782
7 La 0.000 0.000 0.000